Record 1
Here is a relaxed SrPr2DySe4 crystal from Alexandria. Energies are from PBE.

Calculated values
space-group type: P2/m, No. 10
formation energy (no corrections): -1.84 eV/atom
total magnetic moment: 0.00 μB/f.u.
electronic total energy: -44.536 eV/f.u.

Cell lengths 4.2158, 7.4189, 7.3463 Å; angles 71.08, 90.00, 90.00 degrees
With the nearest neighbours (Å) after each atom.
Fractional positions:
Se: 0.5000 0.2614 0.7377  2 Dy 2.94, 3 Pr 3.00-3.08, 1 Sr 3.01
Se: 0.0000 0.2540 0.2584  1 Dy 2.93, 3 Pr 3.00-3.08, 2 Sr 3.02
Se: 0.0000 0.7460 0.7416  1 Dy 2.93, 3 Pr 3.00-3.08, 2 Sr 3.02
Se: 0.5000 0.7386 0.2623  2 Dy 2.94, 3 Pr 3.00-3.08, 1 Sr 3.01
Pr: 0.0000 0.0000 0.0000  6 Se 3.08
Pr: 0.5000 0.0000 0.5000  6 Se 3.00
Sr: 0.5000 0.5000 0.0000  6 Se 3.01-3.02
Dy: 0.0000 0.5000 0.5000  6 Se 2.93-2.94

Record 2
Here is a relaxed BeNiRh2 crystal from Alexandria. Energies are from PBE.

Calculated values
space-group type: Amm2, No. 38
total magnetic moment: 0.00 μB/f.u.
electronic total energy: -24.854 eV/f.u.
E_form: -0.161 eV per atom

Cell lengths 3.8334, 2.6996, 4.8210 Å; angles 73.70, 90.00, 90.00 degrees
With the nearest neighbours (Å) after each atom.
Fractional positions:
Ni: 0.5000 0.5614 0.7526  2 Be 2.27, 3 Rh 2.49-2.53
Be: 0.0000 0.6916 0.4885  2 Ni 2.27, 5 Rh 2.41-2.52
Rh: 0.5000 0.2932 0.2909  3 Ni 2.49-2.53, 4 Be 2.51-2.52, 6 Rh 2.70-2.78
Rh: 0.0000 0.9538 0.9680  3 Be 2.41-2.60, 4 Ni 2.55

Record 3
Here is a relaxed SrZrCrSb2 crystal from Alexandria. Energies are from PBE.

Calculated values
space-group type: P4/mmm, No. 123
formation energy (no corrections): 0.66 eV/atom
total magnetic moment: 5.49 μB/f.u.
electronic total energy: -24.784 eV/f.u.

Cell lengths 5.5434, 5.9871, 5.5434 Å; angles 90.00, 90.00, 90.00 degrees
With the nearest neighbours (Å) after each atom.
Fractional positions:
Cr: 0.5000 0.5000 0.5000  4 Sr 3.92, 8 Sb 4.08
Sr: 0.0000 0.5000 0.0000  2 Zr 2.99
Sb: 0.0000 0.0000 0.5000  2 Zr 2.77
Sb: 0.5000 0.0000 0.0000  2 Zr 2.77
Zr: 0.0000 0.0000 0.0000  4 Sb 2.77, 2 Sr 2.99